# 1
## Dy7Cd2In2 (PBE)

Data for a relaxed structure of Dy7Cd2In2.

Cell: 6.716 8.141 6.716 Å, 90.00 112.07 90.00°
Fractional coordinates of all 11 atoms:
Dy (0.000, 0.707, 0.500)
In (0.188, 0.500, 0.188)
Dy (0.500, 0.707, 0.000)
Dy (0.500, 0.243, 0.500)
Dy (0.000, 0.293, 0.500)
Cd (0.716, 0.000, 0.284)
In (0.812, 0.500, 0.812)
Dy (0.500, 0.757, 0.500)
Dy (0.000, 0.000, 0.000)
Cd (0.284, 0.000, 0.716)
Dy (0.500, 0.293, 0.000)

Computed properties:
Calculated total energy   -3.579 eV per atom

=====

# 2
## SbTePt2 (PBE)

Data for a relaxed structure of SbTePt2.

Cell: 7.105 7.105 7.105 Å, 32.73 32.73 32.73°
Fractional coordinates of all 4 atoms:
Te (0.725, 0.725, 0.725)
Pt (0.253, 0.253, 0.253)
Pt (0.995, 0.995, 0.995)
Sb (0.527, 0.527, 0.527)

Computed properties:
Raw formation energy   -0.322 eV/atom
Calculated total energy   -5.158 eV per atom

=====

# 3
## MoPt2Rh2 (PBE)

Data for a relaxed structure of MoPt2Rh2.

Cell: 4.868 4.868 5.132 Å, 118.31 118.31 90.00°
Each line ends with the local moment (μB).
Fractional coordinates of all 5 atoms:
Mo (0.000, 0.000, 0.000)  1.31
Pt (0.342, 0.342, 0.683)  -0.03
Pt (0.658, 0.658, 0.317)  -0.03
Rh (0.750, 0.250, 0.500)  -0.03
Rh (0.250, 0.750, 0.500)  -0.03

Computed properties:
Calculated total energy   -6.727 eV per atom